Entry from OQMD via LeMat-Bulk: a relaxed structure of PrGdIn2Ni4 (PBE).

Cell lengths 4.0490, 5.1869, 7.1176 Å; angles 90.00, 90.00, 90.00 degrees
Closest atoms and distances in Å follow each position.
Positions (direct):
Ni  0.5000  0.7534  0.0034  6 Ni 2.52-2.63, 2 In 2.76-2.81
Pr  0.0000  0.5000  0.7252  3 Ni 2.74-2.86
In  0.5000  0.5000  0.3440  4 Ni 2.62-2.76
Gd  0.0000  0.0000  0.2694  3 Ni 2.68-2.83
Ni  0.0000  0.0000  0.8931  4 Ni 2.52, 2 In 2.66, 1 Gd 2.68
Ni  0.5000  0.2466  0.0034  6 Ni 2.52-2.63, 2 In 2.76-2.81
In  0.5000  0.0000  0.6512  4 Ni 2.66-2.81
Ni  0.0000  0.5000  0.1102  4 Ni 2.53, 2 In 2.62, 1 Pr 2.74, 2 Gd 2.83

Computed properties:
relative energy among the computed polymorphs: 0 meV/atom


Entry from OQMD via LeMat-Bulk: a relaxed structure of Gd2In2Ni3Pt (PBE).

Cell lengths 4.4771, 4.4771, 8.6797 Å; angles 90.00, 90.00, 120.00 degrees
Closest atoms and distances in Å follow each position.
Positions (direct):
Gd  0.3333  0.6667  0.7459  7 Ni 2.80-2.94, 1 Pt 3.03
Gd  0.0000  0.0000  0.2545  5 Ni 2.87-3.01, 3 Pt 2.93
Ni  0.3333  0.6667  0.4233  3 In 2.68, 4 Gd 2.80-2.97, 1 Pt 2.85, 3 Ni 2.94
In  0.6667  0.3333  0.9862  3 Ni 2.67, 3 Pt 2.75
Ni  0.0000  0.0000  0.9072  3 In 2.67, 1 Ni 2.80, 3 Gd 2.94
Ni  0.0000  0.0000  0.5849  3 In 2.68, 4 Ni 2.80-2.94, 4 Gd 2.87-2.94
Pt  0.3333  0.6667  0.0945  3 In 2.75, 4 Ni 2.85-3.05, 4 Gd 2.93-3.03
In  0.6667  0.3333  0.5034  6 Ni 2.68

Computed properties:
energy: -5.235 eV/atom


Entry from OQMD via LeMat-Bulk: a relaxed structure of Gd3In3NiPt2 (PBE).

Cell lengths 7.6308, 7.6308, 3.8726 Å; angles 90.00, 90.00, 120.00 degrees
Closest atoms and distances in Å follow each position.
Positions (direct):
In  0.7540  0.7540  0.5000  2 Ni 2.70, 2 Pt 2.93
Gd  0.5902  0.0000  0.0000  4 Pt 3.01, 1 Ni 3.13, 6 In 3.26-3.34
Gd  0.4098  0.4098  0.0000  4 Pt 3.01, 1 Ni 3.13, 6 In 3.26-3.34
In  0.0000  0.2460  0.5000  2 Ni 2.70, 2 Pt 2.93
In  0.2460  0.0000  0.5000  2 Ni 2.70, 2 Pt 2.93
Ni  0.0000  0.0000  0.0000  6 In 2.70
Pt  0.3333  0.6667  0.5000  3 In 2.93, 6 Gd 3.01
Pt  0.6667  0.3333  0.5000  3 In 2.93, 6 Gd 3.01
Gd  0.0000  0.5902  0.0000  4 Pt 3.01, 1 Ni 3.13, 6 In 3.26-3.34

Computed properties:
energy: -5.291 eV/atom


Entry from OQMD via LeMat-Bulk: a relaxed structure of Gd3In2NiSnPt2 (PBE).

Cell lengths 3.8365, 7.6664, 7.6664 Å; angles 119.95, 90.00, 90.00 degrees
Closest atoms and distances in Å follow each position.
Positions (direct):
Ni  0.5000  0.9932  0.9932  2 Sn 2.65, 4 In 2.72
In  0.0000  0.0013  0.2486  2 Ni 2.72, 2 Pt 2.94-2.95
Pt  0.0000  0.3345  0.6669  2 In 2.94-2.95, 1 Sn 2.94, 6 Gd 3.01
Gd  0.5000  0.5898  0.0013  4 Pt 3.01, 1 Ni 3.12, 4 In 3.24-3.35, 2 Sn 3.35
In  0.0000  0.2486  0.0013  2 Ni 2.72, 2 Pt 2.94-2.95
Pt  0.0000  0.6669  0.3345  2 In 2.94-2.95, 1 Sn 2.94, 6 Gd 3.01
Gd  0.5000  0.4101  0.4101  4 Pt 3.01, 1 Ni 3.20, 2 Sn 3.26, 4 In 3.34
Sn  0.0000  0.7543  0.7543  2 Ni 2.65, 2 Pt 2.94
Gd  0.5000  0.0013  0.5898  4 Pt 3.01, 1 Ni 3.12, 4 In 3.24-3.35, 2 Sn 3.35

Computed properties:
energy: -5.475 eV/atom


Entry from OQMD via LeMat-Bulk: a relaxed structure of GdInNiS3 (PBE).

Cell lengths 3.7141, 6.9646, 10.2678 Å; angles 90.00, 90.00, 74.54 degrees
Closest atoms and distances in Å follow each position.
Positions (direct):
Ni  0.5218  0.9563  0.2500  4 S 2.28-2.29
S  0.6361  0.7277  0.0857  1 Ni 2.28
S  0.9219  0.1561  0.2500  2 Ni 2.29
Gd  0.0000  0.0000  0.0000  6 S 2.75-2.77
In  0.2466  0.5068  0.2500  6 S 2.91-3.00
Ni  0.4781  0.0437  0.7500  4 S 2.28-2.29
S  0.3639  0.2723  0.9143  1 Ni 2.28
In  0.7534  0.4932  0.7500  6 S 2.91-3.00
S  0.3639  0.2723  0.5857  1 Ni 2.28
S  0.6361  0.7277  0.4143  1 Ni 2.28
Gd  0.0000  0.0000  0.5000  6 S 2.75-2.77
S  0.0781  0.8439  0.7500  2 Ni 2.29

Computed properties:
energy: -5.184 eV/atom


Entry from OQMD via LeMat-Bulk: a relaxed structure of Gd4InNi2Sn4 (PBE).

Cell lengths 8.4192, 8.4192, 7.4756 Å; angles 108.59, 108.59, 31.47 degrees
Closest atoms and distances in Å follow each position.
Positions (direct):
In  0.0000  0.0000  0.0000  4 Sn 2.99-3.26
Sn  0.0695  0.0695  0.6761  1 Ni 2.52
Ni  0.2202  0.2202  0.6476  4 Sn 2.52-2.69
Gd  0.3432  0.3432  0.0462  1 Ni 2.99, 5 Sn 3.10-3.28
Gd  0.4089  0.4089  0.6071  3 Ni 3.17-3.25, 7 Sn 3.21-3.43
Gd  0.6568  0.6568  0.9538  1 Ni 2.99, 5 Sn 3.10-3.28
Sn  0.9305  0.9305  0.3239  1 Ni 2.52
Gd  0.5911  0.5911  0.3929  3 Ni 3.17-3.25, 7 Sn 3.21-3.43
Sn  0.7968  0.7968  0.7227  3 Ni 2.57-2.69
Ni  0.7798  0.7798  0.3524  4 Sn 2.52-2.69
Sn  0.2032  0.2032  0.2773  3 Ni 2.57-2.69

Computed properties:
energy: -5.058 eV/atom


Entry from OQMD via LeMat-Bulk: a relaxed structure of TbGdIn2Ni4 (PBE).

Cell lengths 4.0242, 5.1184, 7.0490 Å; angles 90.00, 90.00, 90.00 degrees
Closest atoms and distances in Å follow each position.
Positions (direct):
In  0.0000  0.0000  0.6469  4 Ni 2.64-2.80
Ni  0.0000  0.2493  0.0007  6 Ni 2.51-2.57, 2 In 2.79-2.80
Gd  0.5000  0.5000  0.7316  3 Ni 2.68-2.79
Tb  0.5000  0.0000  0.2674  3 Ni 2.67-2.78
Ni  0.0000  0.7507  0.0007  6 Ni 2.51-2.57, 2 In 2.79-2.80
Ni  0.5000  0.5000  0.1120  4 Ni 2.51, 2 In 2.63, 1 Gd 2.68, 2 Tb 2.78
Ni  0.5000  0.0000  0.8885  4 Ni 2.51, 2 In 2.64, 1 Tb 2.67, 2 Gd 2.79
In  0.0000  0.5000  0.3523  4 Ni 2.63-2.79

Computed properties:
relative energy among the computed polymorphs: 0 meV/atom


Entry from OQMD via LeMat-Bulk: a relaxed structure of TbGdIn2Ni4 (PBE).

Cell lengths 4.4208, 4.4208, 8.5097 Å; angles 90.00, 90.00, 120.00 degrees
Closest atoms and distances in Å follow each position.
Positions (direct):
In  0.3333  0.6667  0.2508  6 Ni 2.65
Ni  0.6667  0.3333  0.1660  3 In 2.65, 4 Ni 2.82-2.93, 1 Tb 2.84, 3 Gd 2.92
Tb  0.6667  0.3333  0.5000  8 Ni 2.84-2.91
Gd  0.0000  0.0000  0.0000  8 Ni 2.86-2.92
Ni  0.0000  0.0000  0.6641  3 In 2.65, 4 Ni 2.79-2.93, 1 Gd 2.86, 3 Tb 2.91
In  0.3333  0.6667  0.7492  6 Ni 2.65
Ni  0.0000  0.0000  0.3359  3 In 2.65, 4 Ni 2.79-2.93, 1 Gd 2.86, 3 Tb 2.91
Ni  0.6667  0.3333  0.8340  3 In 2.65, 4 Ni 2.82-2.93, 1 Tb 2.84, 3 Gd 2.92

Computed properties:
relative energy among the computed polymorphs: 57 meV/atom


Entry from OQMD via LeMat-Bulk: a relaxed structure of GdYInNi2 (PBE).

Cell lengths 3.7355, 7.3659, 7.3659 Å; angles 30.60, 90.00, 90.00 degrees
Closest atoms and distances in Å follow each position.
Positions (direct):
Gd  0.0000  0.6373  0.6373  6 Ni 2.84-2.98
Ni  0.5000  0.1992  0.1992  2 Ni 2.42
In  0.5000  0.9993  0.9993  2 Ni 2.83-2.84
Y  0.0000  0.3636  0.3636  6 Ni 2.84-2.99
Ni  0.5000  0.8005  0.8005  2 Ni 2.42

Computed properties:
energy: -5.527 eV/atom


Entry from OQMD via LeMat-Bulk: a relaxed structure of GdYIn4Ni2 (PBE).

Cell lengths 7.3949, 5.6849, 5.6849 Å; angles 44.80, 90.00, 90.00 degrees
Closest atoms and distances in Å follow each position.
Positions (direct):
In  0.2007  0.1436  0.1436  3 Ni 2.67-2.73, 1 In 2.97
In  0.7993  0.1436  0.1436  3 Ni 2.67-2.73, 1 In 2.97
Gd  0.0000  0.4324  0.4324  3 Ni 2.97-3.15, 4 In 3.20
Ni  0.0000  0.7147  0.7147  6 In 2.67-2.73, 1 Gd 2.97
In  0.3003  0.8562  0.8562  3 Ni 2.67-2.72, 1 In 2.95
Y  0.5000  0.5678  0.5678  3 Ni 2.97-3.15, 4 In 3.20
In  0.6997  0.8562  0.8562  3 Ni 2.67-2.72, 1 In 2.95
Ni  0.5000  0.2856  0.2856  6 In 2.67-2.72, 1 Y 2.97

Computed properties:
energy: -4.601 eV/atom


Entry from OQMD via LeMat-Bulk: a relaxed structure of Gd2ZnIn3Ni2 (PBE).

Cell lengths 5.5066, 5.5066, 7.4784 Å; angles 90.19, 90.19, 45.93 degrees
Closest atoms and distances in Å follow each position.
Positions (direct):
Ni  0.2786  0.2786  0.7549  1 Zn 2.57, 5 In 2.69-2.75
In  0.8541  0.8541  0.9517  3 Ni 2.62-2.71
Ni  0.7132  0.7132  0.2445  4 In 2.62-2.71, 2 Zn 2.66, 1 Gd 2.80
Zn  0.1514  0.1514  0.0522  3 Ni 2.57-2.66
In  0.1449  0.1449  0.4439  3 Ni 2.69-2.71, 1 Zn 2.93
Gd  0.5665  0.5665  0.7623  3 Ni 2.92-3.04, 2 Zn 3.17, 1 In 3.24
In  0.8544  0.8544  0.5491  3 Ni 2.69-2.75
Gd  0.4370  0.4370  0.2414  3 Ni 2.80-3.13

Computed properties:
energy: -4.167 eV/atom


Entry from OQMD via LeMat-Bulk: a relaxed structure of Gd2Zn3InNi2 (PBE).

Cell lengths 5.1984, 5.1984, 7.4058 Å; angles 90.70, 90.70, 46.67 degrees
Closest atoms and distances in Å follow each position.
Positions (direct):
Zn  0.1499  0.1499  0.9410  3 Ni 2.62-2.64, 1 Zn 2.84, 1 In 2.94
Ni  0.2770  0.2770  0.2597  4 Zn 2.54-2.64, 2 In 2.69, 1 Gd 2.76
Gd  0.5660  0.5660  0.2649  3 Ni 2.76-2.88, 3 Zn 3.03-3.08
Zn  0.1471  0.1471  0.5570  3 Ni 2.54-2.55, 1 Zn 2.84
In  0.8556  0.8556  0.0515  3 Ni 2.64-2.69, 2 Zn 2.94-2.95
Zn  0.8510  0.8510  0.4493  3 Ni 2.52-2.59
Ni  0.7176  0.7176  0.7408  5 Zn 2.52-2.62, 1 In 2.64, 1 Gd 2.69
Gd  0.4356  0.4356  0.7359  3 Ni 2.69-2.93

Computed properties:
energy: -3.795 eV/atom


Number 1: spin magnetization 0.00 μB per formula unit. Number 2: spin magnetization 0.01 μB per formula unit. Number 3: spin magnetization 0.03 μB per formula unit. Number 4: spin magnetization 0.00 μB per formula unit. Number 5: spin magnetization 0.48 μB per formula unit. Number 6: spin magnetization 0.00 μB per formula unit. Number 7: spin magnetization 0.01 μB per formula unit. Number 8: spin magnetization 0.00 μB per formula unit. Number 9: spin magnetization 0.01 μB per formula unit. Number 10: spin magnetization 0.00 μB per formula unit. Number 11: spin magnetization 0.00 μB per formula unit. Number 12: spin magnetization 0.00 μB per formula unit.